Here is crystalline Ag2H2Pt3 at its relaxed geometry from the Alexandria database. Energies are from GGA-PBE.

**Size of the total moment**: 0.00 μB/f.u.
**Electronic total energy**: -4.31 eV/atom
**Theoretical density**: 14.84 g cm⁻³

Cell: 4.9487 4.9487 7.1615 Å, 109.68 109.68 33.19°
Positions (direct):
Ag 0.1787 0.1787 0.2985
Ag 0.8213 0.8213 0.7015
H 0.0688 0.0688 0.7309
H 0.9312 0.9312 0.2691
Pt 0.3864 0.3864 0.0899
Pt 0.5000 0.5000 0.5000
Pt 0.6136 0.6136 0.9101